## La2ZnBi (PBE-GGA)

Data for a relaxed structure of La2ZnBi.

Lattice parameters (Å, degrees): 8.4201 8.4201 7.4348 90.00 90.00 90.00
Atoms (fractional coordinates):
La 0.2280 0.2500 0.1250
La 0.2500 0.7280 0.3750
La 0.2500 0.7720 0.8750
La 0.2720 0.2500 0.6250
La 0.7280 0.7500 0.6250
La 0.7500 0.2280 0.8750
La 0.7500 0.2720 0.3750
La 0.7720 0.7500 0.1250
Zn 0.0000 0.0000 0.0000
Zn 0.0000 0.5000 0.2500
Zn 0.5000 0.0000 0.7500
Zn 0.5000 0.5000 0.5000
Bi 0.0000 0.0000 0.5000
Bi 0.0000 0.5000 0.7500
Bi 0.5000 0.0000 0.2500
Bi 0.5000 0.5000 0.0000

Properties
Its total magnetization is 0.00 μB/cell. The energy above the most stable polymorph in this dataset comes out at 223 meV/atom. For the density of states at the Fermi level, the calculation gives 1.309 states/eV per atom. As for the crystal system: tetragonal. As for the space group: I-42d. As for the formation energy from the elements: -0.36 eV per atom.

## Pa2AgPtO8 (PBE-GGA)

Data for a relaxed structure of Pa2AgPtO8.

Lattice parameters (Å, degrees): 5.4801 5.4801 6.6572 90.00 90.00 120.00
Atoms (fractional coordinates):
Pa 0.3333 0.6667 0.3689
Pa 0.6667 0.3333 0.6311
Ag 0.0000 0.0000 0.0000
Pt 0.0000 0.0000 0.5000
O 0.1792 0.3584 0.6510
O 0.1792 0.8208 0.6510
O 0.3333 0.6667 0.0900
O 0.3584 0.1792 0.3490
O 0.6416 0.8208 0.6510
O 0.6667 0.3333 0.9100
O 0.8208 0.1792 0.3490
O 0.8208 0.6416 0.3490

Properties
Its total magnetization is 0.00 μB/cell. For the density of states at the Fermi level, the calculation gives 0.726 states/eV per atom. The calculation puts the raw formation energy at -1.788 eV/atom. As for the crystal system: trigonal. As for the space group: P-3m1.

## PmThSnPt (PBE-GGA)

Data for a relaxed structure of PmThSnPt.

Lattice parameters (Å, degrees): 7.4890 7.4890 7.4890 90.00 90.00 90.00
Atoms (fractional coordinates):
Pm 0.0000 0.0000 0.0000
Pm 0.0000 0.5000 0.5000
Pm 0.5000 0.0000 0.5000
Pm 0.5000 0.5000 0.0000
Th 0.0000 0.0000 0.5000
Th 0.0000 0.5000 0.0000
Th 0.5000 0.0000 0.0000
Th 0.5000 0.5000 0.5000
Sn 0.2500 0.2500 0.2500
Sn 0.2500 0.7500 0.7500
Sn 0.7500 0.2500 0.7500
Sn 0.7500 0.7500 0.2500
Pt 0.2500 0.2500 0.7500
Pt 0.2500 0.7500 0.2500
Pt 0.7500 0.2500 0.2500
Pt 0.7500 0.7500 0.7500

Properties
Its total magnetization is 0.03 μB/cell. For the density of states at the Fermi level, the calculation gives 1.153 states/eV per atom. As for the crystal system: cubic. As for the space group: F-43m. As for the formation energy from the elements: -0.66 eV per atom.

## NdDy7Y12 (PBE-GGA)

Data for a relaxed structure of NdDy7Y12.

Lattice parameters (Å, degrees): 9.7888 9.7888 9.7888 109.47 109.47 109.47
Atoms (fractional coordinates):
Nd 0.0000 0.0000 0.0000
Dy 0.0000 0.0000 0.5000
Dy 0.0000 0.5000 0.0000
Dy 0.0000 0.5000 0.5000
Dy 0.5000 0.0000 0.0000
Dy 0.5000 0.0000 0.5000
Dy 0.5000 0.5000 0.0000
Dy 0.5000 0.5000 0.5000
Y 0.0000 0.2532 0.7468
Y 0.0000 0.7468 0.2532
Y 0.2532 0.0000 0.7468
Y 0.2532 0.2532 0.5064
Y 0.2532 0.5064 0.2532
Y 0.2532 0.7468 0.0000
Y 0.4936 0.7468 0.7468
Y 0.5064 0.2532 0.2532
Y 0.7468 0.0000 0.2532
Y 0.7468 0.2532 0.0000
Y 0.7468 0.4936 0.7468
Y 0.7468 0.7468 0.4936

Properties
Its total magnetization is 0.00 μB/cell. The energy above the most stable polymorph in this dataset comes out at 403 meV/atom. For the density of states at the Fermi level, the calculation gives 1.240 states/eV per atom. As for the crystal system: cubic. As for the space group: Im-3m. As for the formation energy from the elements: 0.69 eV per atom.

## Rb4TlAu4 (PBE-GGA)

Data for a relaxed structure of Rb4TlAu4.

Lattice parameters (Å, degrees): 10.0068 10.0068 7.0226 90.00 90.00 90.00
Atoms (fractional coordinates):
Rb 0.0377 0.6784 0.1022
Rb 0.1784 0.9623 0.6022
Rb 0.3216 0.5377 0.6022
Rb 0.4623 0.8216 0.1022
Rb 0.5377 0.1784 0.8978
Rb 0.6784 0.4623 0.3978
Rb 0.8216 0.0377 0.3978
Rb 0.9623 0.3216 0.8978
Tl 0.2500 0.2500 0.2500
Tl 0.7500 0.7500 0.7500
Au 0.0173 0.3750 0.4118
Au 0.1250 0.0173 0.0882
Au 0.3750 0.4827 0.0882
Au 0.4827 0.1250 0.4118
Au 0.5173 0.8750 0.5882
Au 0.6250 0.5173 0.9118
Au 0.8750 0.9827 0.9118
Au 0.9827 0.6250 0.5882

Properties
Its total magnetization is 0.00 μB/cell. For the density of states at the Fermi level, the calculation gives 0.422 states/eV per atom. As for the crystal system: tetragonal. As for the space group: P4_2/n. As for the formation energy from the elements: -0.23 eV per atom.

## Er2Co3C2 (PBE-GGA)

Data for a relaxed structure of Er2Co3C2.

Lattice parameters (Å, degrees): 9.2967 3.2397 6.4264 90.00 115.89 90.00
Atoms (fractional coordinates):
Er 0.1296 0.0000 0.2759
Er 0.3704 0.5000 0.7241
Er 0.6296 0.5000 0.2759
Er 0.8704 0.0000 0.7241
Co 0.0000 0.5000 0.5000
Co 0.1482 0.5000 0.9127
Co 0.3518 0.0000 0.0873
Co 0.5000 0.0000 0.5000
Co 0.6482 0.0000 0.9127
Co 0.8518 0.5000 0.0873
C 0.1544 0.0000 0.7392
C 0.3456 0.5000 0.2608
C 0.6544 0.5000 0.7392
C 0.8456 0.0000 0.2608

Properties
Its total magnetization is 0.00 μB/cell. For the density of states at the Fermi level, the calculation gives 0.907 states/eV per atom. As for the crystal system: monoclinic. As for the space group: C2/m. As for the formation energy from the elements: -0.03 eV per atom.

## CoRh2 (PBE-GGA)

Data for a relaxed structure of CoRh2.

Lattice parameters (Å, degrees): 4.6044 7.9550 4.6201 90.00 109.70 90.00
Atoms (fractional coordinates):
Co 0.0000 0.0804 0.2500
Co 0.0000 0.9196 0.7500
Co 0.5000 0.4196 0.7500
Co 0.5000 0.5804 0.2500
Rh 0.0000 0.2446 0.7500
Rh 0.0000 0.4178 0.2500
Rh 0.0000 0.5822 0.7500
Rh 0.0000 0.7554 0.2500
Rh 0.5000 0.0822 0.7500
Rh 0.5000 0.2554 0.2500
Rh 0.5000 0.7446 0.7500
Rh 0.5000 0.9178 0.2500

Properties
Its total magnetization is 9.07 μB/cell. For the density of states at the Fermi level, the calculation gives 1.707 states/eV per atom. As for the crystal system: monoclinic. As for the space group: C2/c. As for the formation energy from the elements: 0.07 eV per atom.

## Sc2BeGe2Rh5 (PBE-GGA)

Data for a relaxed structure of Sc2BeGe2Rh5.

Lattice parameters (Å, degrees): 9.4839 9.4839 3.4085 90.00 90.00 90.00
Atoms (fractional coordinates):
Sc 0.1698 0.3302 0.0000
Sc 0.3302 0.8302 0.0000
Sc 0.6698 0.1698 0.0000
Sc 0.8302 0.6698 0.0000
Be 0.0000 0.0000 0.0000
Be 0.5000 0.5000 0.0000
Ge 0.1321 0.6321 0.0000
Ge 0.3679 0.1321 0.0000
Ge 0.6321 0.8679 0.0000
Ge 0.8679 0.3679 0.0000
Rh 0.0000 0.5000 0.5000
Rh 0.0648 0.8035 0.5000
Rh 0.1965 0.0648 0.5000
Rh 0.3035 0.5648 0.5000
Rh 0.4352 0.3035 0.5000
Rh 0.5000 0.0000 0.5000
Rh 0.5648 0.6965 0.5000
Rh 0.6965 0.4352 0.5000
Rh 0.8035 0.9352 0.5000
Rh 0.9352 0.1965 0.5000

Properties
Its total magnetization is 0.00 μB/cell. For the density of states at the Fermi level, the calculation gives 0.274 states/eV per atom. As for the crystal system: tetragonal. As for the space group: P4/mbm. As for the formation energy from the elements: -0.70 eV per atom.

## Rb3Tl7Sb4 (PBE-GGA)

Data for a relaxed structure of Rb3Tl7Sb4.

Lattice parameters (Å, degrees): 10.1982 10.1982 12.0025 122.44 122.44 28.95
Atoms (fractional coordinates):
Rb 0.0000 0.0000 0.0000
Rb 0.3042 0.3042 0.3013
Rb 0.6958 0.6958 0.6987
Tl 0.0000 0.0000 0.5000
Tl 0.1590 0.1590 0.4453
Tl 0.3152 0.3152 0.9617
Tl 0.4979 0.4979 0.6964
Tl 0.5021 0.5021 0.3036
Tl 0.6848 0.6848 0.0383
Tl 0.8410 0.8410 0.5547
Sb 0.1200 0.1200 0.8435
Sb 0.3462 0.3462 0.7189
Sb 0.6538 0.6538 0.2811
Sb 0.8800 0.8800 0.1565

Properties
Its total magnetization is 0.00 μB/cell. For the density of states at the Fermi level, the calculation gives 0.315 states/eV per atom. The calculation puts the raw formation energy at -0.197 eV/atom. As for the crystal system: monoclinic. As for the space group: C2/m.

## AcPa4N8 (PBE-GGA)

Data for a relaxed structure of AcPa4N8.

Lattice parameters (Å, degrees): 7.3888 7.3888 7.3888 57.50 57.50 57.50
Atoms (fractional coordinates):
Ac 0.0000 0.0000 0.0000
Pa 0.0000 0.0000 0.5000
Pa 0.0000 0.5000 0.0000
Pa 0.5000 0.0000 0.0000
Pa 0.5000 0.5000 0.5000
N 0.2163 0.2163 0.2163
N 0.2167 0.7286 0.7286
N 0.2714 0.2714 0.7833
N 0.2714 0.7833 0.2714
N 0.7286 0.2167 0.7286
N 0.7286 0.7286 0.2167
N 0.7833 0.2714 0.2714
N 0.7837 0.7837 0.7837

Properties
Its total magnetization is 0.00 μB/cell. The energy above the most stable polymorph in this dataset comes out at 239 meV/atom. For the density of states at the Fermi level, the calculation gives 0.850 states/eV per atom. The calculation puts the raw formation energy at -1.254 eV/atom. As for the crystal system: trigonal. As for the space group: R-3m.

Repeat the first record exactly.
## La2ZnBi (PBE-GGA)

Data for a relaxed structure of La2ZnBi.

Lattice parameters (Å, degrees): 8.4201 8.4201 7.4348 90.00 90.00 90.00
Atoms (fractional coordinates):
La 0.2280 0.2500 0.1250
La 0.2500 0.7280 0.3750
La 0.2500 0.7720 0.8750
La 0.2720 0.2500 0.6250
La 0.7280 0.7500 0.6250
La 0.7500 0.2280 0.8750
La 0.7500 0.2720 0.3750
La 0.7720 0.7500 0.1250
Zn 0.0000 0.0000 0.0000
Zn 0.0000 0.5000 0.2500
Zn 0.5000 0.0000 0.7500
Zn 0.5000 0.5000 0.5000
Bi 0.0000 0.0000 0.5000
Bi 0.0000 0.5000 0.7500
Bi 0.5000 0.0000 0.2500
Bi 0.5000 0.5000 0.0000

Properties
Its total magnetization is 0.00 μB/cell. The energy above the most stable polymorph in this dataset comes out at 223 meV/atom. For the density of states at the Fermi level, the calculation gives 1.309 states/eV per atom. As for the crystal system: tetragonal. As for the space group: I-42d. As for the formation energy from the elements: -0.36 eV per atom.

Repeat the fourth record exactly.
## NdDy7Y12 (PBE-GGA)

Data for a relaxed structure of NdDy7Y12.

Lattice parameters (Å, degrees): 9.7888 9.7888 9.7888 109.47 109.47 109.47
Atoms (fractional coordinates):
Nd 0.0000 0.0000 0.0000
Dy 0.0000 0.0000 0.5000
Dy 0.0000 0.5000 0.0000
Dy 0.0000 0.5000 0.5000
Dy 0.5000 0.0000 0.0000
Dy 0.5000 0.0000 0.5000
Dy 0.5000 0.5000 0.0000
Dy 0.5000 0.5000 0.5000
Y 0.0000 0.2532 0.7468
Y 0.0000 0.7468 0.2532
Y 0.2532 0.0000 0.7468
Y 0.2532 0.2532 0.5064
Y 0.2532 0.5064 0.2532
Y 0.2532 0.7468 0.0000
Y 0.4936 0.7468 0.7468
Y 0.5064 0.2532 0.2532
Y 0.7468 0.0000 0.2532
Y 0.7468 0.2532 0.0000
Y 0.7468 0.4936 0.7468
Y 0.7468 0.7468 0.4936

Properties
Its total magnetization is 0.00 μB/cell. The energy above the most stable polymorph in this dataset comes out at 403 meV/atom. For the density of states at the Fermi level, the calculation gives 1.240 states/eV per atom. As for the crystal system: cubic. As for the space group: Im-3m. As for the formation energy from the elements: 0.69 eV per atom.